Entry from the Alexandria database: an optimized crystal structure of Rb2ErV2O6 (PBE with a Hubbard U).

Results
- V (Å³/atom) = 18.17
- crystal system = trigonal
- uncorrected energy (eV/atom) = -6.824

```
Rb2ErV2O6
1.0
-5.345 -3.028 0.299
-2.166 -2.913 -4.965
0.459 -7.043 0.123
Rb Er V O
2 1 2 6
Direct
0.787 0.787 0.640
0.213 0.213 0.360
0.000 0.000 0.000
0.418 0.418 0.746
0.582 0.582 0.254
0.757 0.757 0.223
0.264 0.757 0.223
0.757 0.264 0.223
0.243 0.736 0.777
0.736 0.243 0.777
0.243 0.243 0.777
```